# 1
Material: Pm2NdZnN
Method: DFT, GGA-PBE
State: relaxed

Values from the calculation:
* uncorrected formation energy: -649 meV/atom
* DOS at the Fermi energy: 5.22 states/eV/f.u.

```
data_Pm2NdZnN
_chemical_formula_sum 'Pm2 Nd1 Zn1 N1'
_space_group_name_H-M_alt 'P 4/m m m'
_space_group_IT_number 123
_space_group_name_Hall '-P 4 2'
_cell_length_a 4.9419
_cell_length_b 4.9419
_cell_length_c 4.9982
_cell_angle_alpha 90.00
_cell_angle_beta 90.00
_cell_angle_gamma 90.00
loop_
_atom_site_label
_atom_site_type_symbol
_atom_site_fract_x
_atom_site_fract_y
_atom_site_fract_z
_atom_site_occupancy
Pm1 Pm 0.0000 0.5000 0.0000 1
Nd1 Nd 0.0000 0.0000 0.5000 1
Zn1 Zn 0.5000 0.5000 0.5000 1
N1 N 0.0000 0.0000 0.0000 1
```

# 2
Material: KLiAsSe2
Method: DFT, GGA-PBE
State: relaxed

Values from the calculation:
* polymorph energy (0 for the lowest one): 1.2911 eV/atom
* uncorrected formation energy: 720 meV/atom
* DOS at the Fermi energy: 6.81 states/eV/f.u.

```
data_KLiAsSe2
_chemical_formula_sum 'K1 Li1 As1 Se2'
_space_group_name_H-M_alt 'P 4/m m m'
_space_group_IT_number 123
_space_group_name_Hall '-P 4 2'
_cell_length_a 5.8642
_cell_length_b 5.8642
_cell_length_c 5.8780
_cell_angle_alpha 90.00
_cell_angle_beta 90.00
_cell_angle_gamma 90.00
loop_
_atom_site_label
_atom_site_type_symbol
_atom_site_fract_x
_atom_site_fract_y
_atom_site_fract_z
_atom_site_occupancy
K1 K 0.0000 0.0000 0.0000 1
Li1 Li 0.5000 0.5000 0.5000 1
As1 As 0.0000 0.0000 0.5000 1
Se1 Se 0.0000 0.5000 0.0000 1
```

# 3
Material: Cs2InHgSb
Method: DFT, GGA-PBE
State: relaxed

Values from the calculation:
* polymorph energy (0 for the lowest one): 0.0000 eV/atom
* uncorrected formation energy: -341 meV/atom
* DOS at the Fermi energy: 1.45 states/eV/f.u.

```
data_Cs2InHgSb
_chemical_formula_sum 'Cs4 In2 Hg2 Sb2'
_space_group_name_H-M_alt 'P 1 21/m 1'
_space_group_IT_number 11
_cell_length_a 9.1491
_cell_length_b 5.2857
_cell_length_c 9.4083
_cell_angle_alpha 90.00
_cell_angle_beta 109.01
_cell_angle_gamma 90.00
loop_
_space_group_symop_operation_xyz
'x,y,z'
'-x,-y,-z'
'-x,y+1/2,-z'
'x,-y+1/2,z'
loop_
_atom_site_label
_atom_site_type_symbol
_atom_site_fract_x
_atom_site_fract_y
_atom_site_fract_z
_atom_site_occupancy
Cs1 Cs 0.0639 0.2500 0.1847 1
Cs2 Cs 0.3798 0.7500 0.6385 1
In1 In 0.3260 0.2500 0.9210 1
Hg1 Hg 0.0697 0.2500 0.5944 1
Sb1 Sb 0.3538 0.7500 0.1072 1
```